A plane-wave DFT calculation with PBE-GGA was carried out for an optimized crystal structure of Ta2Ag4H.

Unit cell a=3.734 b=3.734 c=17.550 alpha=90.00 beta=90.00 gamma=90.00
Space group I4/mmm (No. 139)
Asymmetric unit:
1 Ta 0.000 0.000 0.215 (multiplicity 4)
2 Ag 0.000 0.000 0.371 (multiplicity 4)
3 Ag 0.000 0.500 0.000 (multiplicity 4)
4 H 0.000 0.000 0.500 (multiplicity 2)

Computed properties:
DFT total energy (eV per cell): -69.2
Density of states at the Fermi level (states/eV/atom): 0.438
Spin magnetization (Bohr magnetons per cell): 0.0

***

A plane-wave DFT calculation with PBE-GGA was carried out for an optimized crystal structure of TaAgH3.

Unit cell a=3.657 b=3.657 c=3.657 alpha=90.00 beta=90.00 gamma=90.00
Space group Pm-3m (No. 221)
Asymmetric unit:
1 Ta 0.000 0.000 0.000 (multiplicity 1)
2 Ag 0.500 0.500 0.500 (multiplicity 1)
3 H 0.000 0.000 0.500 (multiplicity 3)

Computed properties:
DFT total energy (eV per cell): -23.2
Excess energy over the best structure of this formula in the dataset (meV/atom): 0
Density of states at the Fermi level (states/eV/atom): 0.463
Spin magnetization (Bohr magnetons per cell): 0.0

***

A plane-wave DFT calculation with PBE-GGA was carried out for an optimized crystal structure of Ta2AgH2.

Unit cell a=7.130 b=7.130 c=2.696 alpha=90.00 beta=90.00 gamma=90.00
Space group P4/mbm (No. 127)
Asymmetric unit:
1 Ta 0.132 0.368 0.000 (multiplicity 4)
2 Ag 0.000 0.000 0.000 (multiplicity 2)
3 H 0.097 0.597 0.500 (multiplicity 4)

Computed properties:
DFT total energy (eV per cell): -59.0
Excess energy over the best structure of this formula in the dataset (meV/atom): 644
Density of states at the Fermi level (states/eV/atom): 0.445
Spin magnetization (Bohr magnetons per cell): 0.0

***

A plane-wave DFT calculation with PBE-GGA was carried out for an optimized crystal structure of TaAgH2.

Unit cell a=4.447 b=4.447 c=8.911 alpha=90.00 beta=90.00 gamma=90.00
Space group I-42d (No. 122)
Asymmetric unit:
1 Ta 0.000 0.000 0.000 (multiplicity 4)
2 Ag 0.000 0.000 0.500 (multiplicity 4)
3 H 0.214 0.250 0.125 (multiplicity 8)

Computed properties:
DFT total energy (eV per cell): -81.1
Excess energy over the best structure of this formula in the dataset (meV/atom): 0
Density of states at the Fermi level (states/eV/atom): 0.275
Spin magnetization (Bohr magnetons per cell): 0.0

***

A plane-wave DFT calculation with PBE-GGA was carried out for an optimized crystal structure of TaAg2H.

Unit cell a=5.766 b=5.766 c=7.294 alpha=90.00 beta=90.00 gamma=90.00
Space group I-42d (No. 122)
Asymmetric unit:
1 Ta 0.000 0.000 0.000 (multiplicity 4)
2 Ag 0.107 0.250 0.625 (multiplicity 8)
3 H 0.000 0.000 0.500 (multiplicity 4)

Computed properties:
DFT total energy (eV per cell): -70.5
Excess energy over the best structure of this formula in the dataset (meV/atom): 0
Density of states at the Fermi level (states/eV/atom): 0.899
Spin magnetization (Bohr magnetons per cell): 0.6

***

A plane-wave DFT calculation with PBE-GGA was carried out for an optimized crystal structure of TaAgH3.

Unit cell a=3.569 b=3.569 c=3.569 alpha=90.00 beta=90.00 gamma=90.00
Space group Pm-3m (No. 221)
Asymmetric unit:
1 Ta 0.000 0.000 0.000 (multiplicity 1)
2 Ag 0.500 0.500 0.500 (multiplicity 1)
3 H 0.000 0.500 0.500 (multiplicity 3)

Computed properties:
DFT total energy (eV per cell): -20.7
Excess energy over the best structure of this formula in the dataset (meV/atom): 490
Density of states at the Fermi level (states/eV/atom): 0.326
Spin magnetization (Bohr magnetons per cell): 0.0

***

A plane-wave DFT calculation with PBE-GGA was carried out for an optimized crystal structure of TaAg2H.

Unit cell a=6.343 b=6.343 c=6.343 alpha=90.00 beta=90.00 gamma=90.00
Space group Fm-3m (No. 225)
Asymmetric unit:
1 Ta 0.000 0.000 0.000 (multiplicity 4)
2 Ag 0.250 0.250 0.250 (multiplicity 8)
3 H 0.000 0.000 0.500 (multiplicity 4)

Computed properties:
DFT total energy (eV per cell): -65.0
Excess energy over the best structure of this formula in the dataset (meV/atom): 343
Density of states at the Fermi level (states/eV/atom): 0.338
Spin magnetization (Bohr magnetons per cell): 0.0

***

A plane-wave DFT calculation with PBE-GGA was carried out for an optimized crystal structure of TaAgH2.

Unit cell a=5.501 b=5.501 c=5.501 alpha=90.00 beta=90.00 gamma=90.00
Space group Fm-3m (No. 225)
Asymmetric unit:
1 Ta 0.000 0.000 0.000 (multiplicity 4)
2 Ag 0.000 0.000 0.500 (multiplicity 4)
3 H 0.250 0.250 0.250 (multiplicity 8)

Computed properties:
DFT total energy (eV per cell): -74.4
Excess energy over the best structure of this formula in the dataset (meV/atom): 420
Density of states at the Fermi level (states/eV/atom): 0.301
Spin magnetization (Bohr magnetons per cell): 0.0

***

A plane-wave DFT calculation with PBE-GGA was carried out for an optimized crystal structure of Ta2AgH2.

Unit cell a=3.601 b=3.601 c=9.112 alpha=90.00 beta=90.00 gamma=90.00
Space group I4/mmm (No. 139)
Asymmetric unit:
1 Ta 0.000 0.000 0.164 (multiplicity 4)
2 Ag 0.000 0.000 0.500 (multiplicity 2)
3 H 0.000 0.500 0.250 (multiplicity 4)

Computed properties:
DFT total energy (eV per cell): -65.4
Excess energy over the best structure of this formula in the dataset (meV/atom): 0
Density of states at the Fermi level (states/eV/atom): 0.824
Spin magnetization (Bohr magnetons per cell): 0.0

***

A plane-wave DFT calculation with PBE-GGA was carried out for an optimized crystal structure of TaAg2H2.

Unit cell a=3.738 b=3.738 c=9.435 alpha=90.00 beta=90.00 gamma=90.00
Space group I4/mmm (No. 139)
Asymmetric unit:
1 Ta 0.000 0.000 0.000 (multiplicity 2)
2 Ag 0.000 0.500 0.250 (multiplicity 4)
3 H 0.000 0.000 0.456 (multiplicity 4)

Computed properties:
DFT total energy (eV per cell): -39.8
Excess energy over the best structure of this formula in the dataset (meV/atom): 512
Density of states at the Fermi level (states/eV/atom): 0.817
Spin magnetization (Bohr magnetons per cell): 1.9

***

A plane-wave DFT calculation with PBE-GGA was carried out for an optimized crystal structure of TaTi2AgH.

Unit cell a=4.150 b=4.150 c=4.101 alpha=90.00 beta=90.00 gamma=90.00
Space group P4/mmm (No. 123)
Asymmetric unit:
1 Ta 0.000 0.000 0.000 (multiplicity 1)
2 Ti 0.000 0.500 0.500 (multiplicity 2)
3 Ag 0.500 0.500 0.000 (multiplicity 1)
4 H 0.000 0.000 0.500 (multiplicity 1)

Computed properties:
DFT total energy (eV per cell): -33.9
Density of states at the Fermi level (states/eV/atom): 0.620
Spin magnetization (Bohr magnetons per cell): 0.0

***

A plane-wave DFT calculation with PBE-GGA was carried out for an optimized crystal structure of Tb2AgH.

Unit cell a=3.6546 b=3.6546 c=21.9096 alpha=90.00 beta=90.00 gamma=120.00
Space group R-3m (No. 166, hexagonal axes)
Asymmetric unit:
1 Tb 0.0000 0.0000 0.2292 (multiplicity 6)
2 Ag 0.0000 0.0000 0.0000 (multiplicity 3)
3 H 0.0000 0.0000 0.5000 (multiplicity 3)

Computed properties:
DFT total energy (eV per cell): -48.6
Density of states at the Fermi level (states/eV/atom): 0.948
Spin magnetization (Bohr magnetons per cell): 0.0